Here is a relaxed Mg2CrRe crystal from Alexandria. Energies are from PBEsol.

The total moment comes out at 0.0 μB/cell. As for the energy relative to the elements: 0.396 eV/atom. The energy above the most stable polymorph in this dataset comes out at 0 meV per atom.

a = 5.1940 Å, b = 5.1940 Å, c = 5.1940 Å
α = 144.63°, β = 126.75°, γ = 65.56°
With the nearest neighbours (Å) after each atom.
Atoms (fractional coordinates):
Mg: 0.0000 0.0000 0.0000  4 Cr 2.83, 4 Re 2.85-3.06, 6 Mg 2.87-3.16
Mg: 0.7249 0.2249 0.5000  4 Cr 2.80-3.11, 4 Re 2.84, 4 Mg 2.87-3.05
Cr: 0.4602 0.4602 0.0000  2 Re 2.28
Re: 0.2724 0.7724 0.5000  2 Cr 2.28